Run P
The following is a GGA-PBE calculation of a geometry-optimized Tc2P2I structure, from Alexandria via LeMat-Bulk.

Properties
DOS(E_F) ... 2.67 states/eV/f.u.
Space group ... I4/mmm, No. 139
Total moment ... 0.0 Bohr magnetons per cell

a b c (Å): 4.2978 4.2978 9.0978
angles (deg): 90.00 90.00 90.00
Fractional positions:
1 Tc 0.0000 0.5000 0.2500
2 Tc 0.0000 0.5000 0.7500
3 Tc 0.5000 0.0000 0.2500
4 Tc 0.5000 0.0000 0.7500
5 P 0.0000 0.0000 0.1312
6 P 0.0000 0.0000 0.8688
7 P 0.5000 0.5000 0.3688
8 P 0.5000 0.5000 0.6312
9 I 0.0000 0.0000 0.5000
10 I 0.5000 0.5000 0.0000

Run Q
The following is a GGA-PBE calculation of a geometry-optimized Tc2P2I structure, from Alexandria via LeMat-Bulk.

Properties
DOS(E_F) ... 6.75 states/eV/f.u.
Space group ... P4/mbm, No. 127
Total moment ... 0.0 Bohr magnetons per cell

a b c (Å): 7.6357 7.6357 2.9831
angles (deg): 90.00 90.00 90.00
Fractional positions:
1 Tc 0.1340 0.3660 0.0000
2 Tc 0.3660 0.8660 0.0000
3 Tc 0.6340 0.1340 0.0000
4 Tc 0.8660 0.6340 0.0000
5 P 0.1207 0.6207 0.5000
6 P 0.3793 0.1207 0.5000
7 P 0.6207 0.8793 0.5000
8 P 0.8793 0.3793 0.5000
9 I 0.0000 0.0000 0.5000
10 I 0.5000 0.5000 0.5000

What should be chosen as the most stable of them? Choose run P.

Run P
The following is a GGA-PBE calculation of a geometry-optimized TeP2I structure, from Alexandria via LeMat-Bulk.

Properties
DOS(E_F) ... 4.61 states/eV/f.u.
Space group ... Fm-3m, No. 225
Total moment ... 0.0 Bohr magnetons per cell

a b c (Å): 7.0875 7.0875 7.0875
angles (deg): 90.00 90.00 90.00
Fractional positions:
1 Te 0.0000 0.0000 0.0000
2 Te 0.0000 0.5000 0.5000
3 Te 0.5000 0.0000 0.5000
4 Te 0.5000 0.5000 0.0000
5 P 0.2500 0.2500 0.2500
6 P 0.2500 0.2500 0.7500
7 P 0.2500 0.7500 0.2500
8 P 0.2500 0.7500 0.7500
9 P 0.7500 0.2500 0.2500
10 P 0.7500 0.2500 0.7500
11 P 0.7500 0.7500 0.2500
12 P 0.7500 0.7500 0.7500
13 I 0.0000 0.0000 0.5000
14 I 0.0000 0.5000 0.0000
15 I 0.5000 0.0000 0.0000
16 I 0.5000 0.5000 0.5000

Run Q
The following is a GGA-PBE calculation of a geometry-optimized TeP2I structure, from Alexandria via LeMat-Bulk.

Properties
DOS(E_F) ... 3.22 states/eV/f.u.
Space group ... I-42d, No. 122
Total moment ... 0.0 Bohr magnetons per cell

a b c (Å): 7.3761 7.3761 8.3130
angles (deg): 90.00 90.00 90.00
Fractional positions:
1 Te 0.0000 0.0000 0.0000
2 Te 0.0000 0.5000 0.2500
3 Te 0.5000 0.0000 0.7500
4 Te 0.5000 0.5000 0.5000
5 P 0.2224 0.2500 0.1250
6 P 0.2500 0.7224 0.3750
7 P 0.2500 0.7776 0.8750
8 P 0.2776 0.2500 0.6250
9 P 0.7224 0.7500 0.6250
10 P 0.7500 0.2224 0.8750
11 P 0.7500 0.2776 0.3750
12 P 0.7776 0.7500 0.1250
13 I 0.0000 0.0000 0.5000
14 I 0.0000 0.5000 0.7500
15 I 0.5000 0.0000 0.2500
16 I 0.5000 0.5000 0.0000

What should be chosen as the most stable of them? Choose run Q.

Run P
The following is a GGA-PBE calculation of a geometry-optimized TePI3 structure, from Alexandria via LeMat-Bulk.

Properties
DOS(E_F) ... 3.08 states/eV/f.u.
Space group ... Pm-3m, No. 221
Total moment ... 2.7 Bohr magnetons per cell

a b c (Å): 6.0492 6.0492 6.0492
angles (deg): 90.00 90.00 90.00
Fractional positions:
1 Te 0.0000 0.0000 0.0000
2 P 0.5000 0.5000 0.5000
3 I 0.0000 0.0000 0.5000
4 I 0.0000 0.5000 0.0000
5 I 0.5000 0.0000 0.0000

Run Q
The following is a GGA-PBE calculation of a geometry-optimized TePI3 structure, from Alexandria via LeMat-Bulk.

Properties
DOS(E_F) ... 3.48 states/eV/f.u.
Space group ... Pm-3m, No. 221
Total moment ... 1.9 Bohr magnetons per cell

a b c (Å): 5.5649 5.5649 5.5649
angles (deg): 90.00 90.00 90.00
Fractional positions:
1 Te 0.0000 0.0000 0.0000
2 P 0.5000 0.5000 0.5000
3 I 0.0000 0.5000 0.5000
4 I 0.5000 0.0000 0.5000
5 I 0.5000 0.5000 0.0000

What should be chosen as the most stable of them? Choose run Q.

Run P
The following is a GGA-PBE calculation of a geometry-optimized TiTe2PI structure, from Alexandria via LeMat-Bulk.

Properties
DOS(E_F) ... 3.08 states/eV/f.u.
Space group ... P4/mmm, No. 123
Total moment ... 2.6 Bohr magnetons per cell

a b c (Å): 5.3411 5.3411 5.5784
angles (deg): 90.00 90.00 90.00
Fractional positions:
1 Ti 0.0000 0.0000 0.0000
2 Te 0.0000 0.5000 0.0000
3 Te 0.5000 0.0000 0.0000
4 P 0.5000 0.5000 0.5000
5 I 0.0000 0.0000 0.5000

Run Q
The following is a GGA-PBE calculation of a geometry-optimized TiTe2PI structure, from Alexandria via LeMat-Bulk.

Properties
DOS(E_F) ... 4.82 states/eV/f.u.
Space group ... P4/mmm, No. 123
Total moment ... 1.7 Bohr magnetons per cell

a b c (Å): 5.2969 5.2969 5.2302
angles (deg): 90.00 90.00 90.00
Fractional positions:
1 Ti 0.0000 0.0000 0.0000
2 Te 0.0000 0.5000 0.5000
3 Te 0.5000 0.0000 0.5000
4 P 0.5000 0.5000 0.5000
5 I 0.5000 0.5000 0.0000

What should be chosen as the most stable of them? Choose run P.

Run P
The following is a GGA-PBE calculation of a geometry-optimized TiTePI2 structure, from Alexandria via LeMat-Bulk.

Properties
DOS(E_F) ... 6.56 states/eV/f.u.
Space group ... P4/mmm, No. 123
Total moment ... 2.0 Bohr magnetons per cell

a b c (Å): 5.3152 5.3152 5.5547
angles (deg): 90.00 90.00 90.00
Fractional positions:
1 Ti 0.0000 0.0000 0.0000
2 Te 0.5000 0.5000 0.0000
3 P 0.5000 0.5000 0.5000
4 I 0.0000 0.5000 0.5000
5 I 0.5000 0.0000 0.5000

Run Q
The following is a GGA-PBE calculation of a geometry-optimized TiTePI2 structure, from Alexandria via LeMat-Bulk.

Properties
DOS(E_F) ... 2.98 states/eV/f.u.
Space group ... P4/mmm, No. 123
Total moment ... 3.1 Bohr magnetons per cell

a b c (Å): 5.5574 5.5574 5.4154
angles (deg): 90.00 90.00 90.00
Fractional positions:
1 Ti 0.0000 0.0000 0.0000
2 Te 0.0000 0.0000 0.5000
3 P 0.5000 0.5000 0.5000
4 I 0.0000 0.5000 0.0000
5 I 0.5000 0.0000 0.0000

What should be chosen as the most stable of them? Choose run Q.

Run P
The following is a GGA-PBE calculation of a geometry-optimized TlTe2PI structure, from Alexandria via LeMat-Bulk.

Properties
DOS(E_F) ... 6.18 states/eV/f.u.
Space group ... P4/mmm, No. 123
Total moment ... 0.0 Bohr magnetons per cell

a b c (Å): 5.3839 5.3839 5.6659
angles (deg): 90.00 90.00 90.00
Fractional positions:
1 Tl 0.0000 0.0000 0.0000
2 Te 0.0000 0.5000 0.5000
3 Te 0.5000 0.0000 0.5000
4 P 0.5000 0.5000 0.5000
5 I 0.5000 0.5000 0.0000

Run Q
The following is a GGA-PBE calculation of a geometry-optimized TlTe2PI structure, from Alexandria via LeMat-Bulk.

Properties
DOS(E_F) ... 5.56 states/eV/f.u.
Space group ... P4/mmm, No. 123
Total moment ... 1.1 Bohr magnetons per cell

a b c (Å): 5.8782 5.8782 6.0341
angles (deg): 90.00 90.00 90.00
Fractional positions:
1 Tl 0.0000 0.0000 0.0000
2 Te 0.0000 0.5000 0.0000
3 Te 0.5000 0.0000 0.0000
4 P 0.5000 0.5000 0.5000
5 I 0.0000 0.0000 0.5000

What should be chosen as the most stable of them? Choose run P.

Run P
The following is a GGA-PBE calculation of a geometry-optimized Te2PWI structure, from Alexandria via LeMat-Bulk.

Properties
DOS(E_F) ... 4.92 states/eV/f.u.
Space group ... P4/mmm, No. 123
Total moment ... 2.8 Bohr magnetons per cell

a b c (Å): 5.2684 5.2684 5.7052
angles (deg): 90.00 90.00 90.00
Fractional positions:
1 Te 0.0000 0.5000 0.0000
2 Te 0.5000 0.0000 0.0000
3 P 0.0000 0.0000 0.5000
4 W 0.5000 0.5000 0.0000
5 I 0.5000 0.5000 0.5000

Run Q
The following is a GGA-PBE calculation of a geometry-optimized Te2PWI structure, from Alexandria via LeMat-Bulk.

Properties
DOS(E_F) ... 5.09 states/eV/f.u.
Space group ... P4/mmm, No. 123
Total moment ... 3.3 Bohr magnetons per cell

a b c (Å): 5.2911 5.2911 5.1288
angles (deg): 90.00 90.00 90.00
Fractional positions:
1 Te 0.0000 0.5000 0.0000
2 Te 0.5000 0.0000 0.0000
3 P 0.0000 0.0000 0.0000
4 W 0.5000 0.5000 0.5000
5 I 0.0000 0.0000 0.5000

What should be chosen as the most stable of them? Choose run P.